This record from Alexandria describes a geometry-optimized SrCd4GaAg2 structure. The functional is PBE-GGA.

a = 4.7756 Å, b = 4.7756 Å, c = 29.2918 Å
α = 90.00°, β = 90.00°, γ = 120.00°
Space group R-3m (No. 166, hexagonal axes)
Asymmetric unit:
1 Sr 0.0000 0.0000 0.0000 (multiplicity 3)
2 Cd 0.0000 0.0000 0.1273 (multiplicity 6)
3 Cd 0.0000 0.0000 0.4004 (multiplicity 6)
4 Ga 0.0000 0.0000 0.5000 (multiplicity 3)
5 Ag 0.0000 0.0000 0.2469 (multiplicity 6)

**VASP energy**: -1.8510 eV/atom
**Total magnetization**: 0.00 μB per cell
**Energy of formation from the pure elements**: -0.09 eV/atom